Pm2YGe, optimized geometry, DFT PBE-GGA; energy above the most stable polymorph in this dataset = 120.7 meV per atom; space group = P4/mmm; D(E_F) = 0.963 states/eV per atom; calculated formation energy = -325 meV/atom
1.0
-1.2070 -0.0119 3.9233
3.7906 -1.0625 1.1630
1.6388 6.4197 0.5236
Y Ge Pm
1 1 2
Direct
0.5000 0.5000 0.5000
0.5000 0.5000 0.0000
0.0000 0.0000 0.7798
0.0000 0.0000 0.2202